(1)
ZnNi4Ir | GGA-PBE | optimized geometry

Cell: 4.4399 4.8904 7.7317 Å, 74.27 89.71 64.36°
Fractional coordinates of all 12 atoms:
Zn 0.2088 0.2441 0.1306
Zn 0.7912 0.7559 0.8694
Ni 0.2121 0.2453 0.4609
Ni 0.2912 0.7441 0.3802
Ni 0.2940 0.7489 0.7033
Ni 0.2953 0.7501 0.0444
Ni 0.7047 0.2499 0.9556
Ni 0.7060 0.2511 0.2967
Ni 0.7088 0.2559 0.6198
Ni 0.7879 0.7547 0.5391
Ir 0.2033 0.2521 0.7842
Ir 0.7967 0.7479 0.2158

Calculated values
- Space-group type: P-1
- Formation energy: -0.030 eV/atom

---

(2)
ThNiBRu2 | GGA-PBE | optimized geometry

Cell: 4.2817 4.2817 4.0620 Å, 90.00 90.00 90.00°
Fractional coordinates of all 5 atoms:
Th 0.0000 0.0000 0.0000
Ni 0.5000 0.5000 0.0000
B 0.5000 0.5000 0.5000
Ru 0.0000 0.5000 0.5000
Ru 0.5000 0.0000 0.5000

Calculated values
- Space-group type: P4/mmm
- Formation energy: -0.501 eV/atom

---

(3)
Re2Os | GGA-PBE | optimized geometry

Cell: 5.1247 5.1247 8.2056 Å, 90.00 90.00 120.00°
Fractional coordinates of all 12 atoms:
Re 0.0000 0.0000 0.0000
Re 0.0000 0.0000 0.5000
Re 0.1742 0.3484 0.2500
Re 0.1742 0.8258 0.2500
Re 0.3484 0.1742 0.7500
Re 0.6516 0.8258 0.2500
Re 0.8258 0.1742 0.7500
Re 0.8258 0.6516 0.7500
Os 0.3333 0.6667 0.5786
Os 0.3333 0.6667 0.9214
Os 0.6667 0.3333 0.0786
Os 0.6667 0.3333 0.4214

Calculated values
- Space-group type: P6_3/mmc
- Formation energy: 0.481 eV/atom

---

(4)
ZrMn3Co | GGA-PBE | optimized geometry

Cell: 4.6550 4.6550 4.6550 Å, 90.00 90.00 90.00°
Fractional coordinates of all 5 atoms:
Zr 0.0000 0.0000 0.0000
Mn 0.0000 0.0000 0.5000
Mn 0.0000 0.5000 0.0000
Mn 0.5000 0.0000 0.0000
Co 0.5000 0.5000 0.5000

Calculated values
- Space-group type: Pm-3m
- Formation energy: 1.741 eV/atom

---

(5)
TeP4Cl | GGA-PBE | optimized geometry

Cell: 5.7739 5.7739 5.7739 Å, 60.00 60.00 60.00°
Fractional coordinates of all 6 atoms:
Te 0.0000 0.0000 0.0000
P 0.4037 0.4037 0.4037
P 0.4037 0.4037 0.7890
P 0.4037 0.7890 0.4037
P 0.7890 0.4037 0.4037
Cl 0.7500 0.7500 0.7500

Calculated values
- Space-group type: F-43m
- Formation energy (no corrections): 360.0 meV per atom

---

(6)
BeFeAs2 | GGA-PBE | optimized geometry

Cell: 7.4898 2.9960 5.8060 Å, 90.00 105.78 90.00°
Fractional coordinates of all 8 atoms:
Be 0.0000 0.0000 0.0000
Be 0.5000 0.5000 0.0000
Fe 0.2416 0.0000 0.8345
Fe 0.7416 0.5000 0.8345
As 0.2709 0.5000 0.1763
As 0.4954 0.0000 0.6650
As 0.7709 0.0000 0.1763
As 0.9954 0.5000 0.6650

Calculated values
- Space-group type: Cm
- Formation energy: 0.034 eV/atom

---

(7)
MnTe3P | GGA-PBE | optimized geometry

Cell: 4.9558 4.9558 4.9558 Å, 90.00 90.00 90.00°
Fractional coordinates of all 5 atoms:
Mn 0.0000 0.0000 0.0000
Te 0.0000 0.0000 0.5000
Te 0.0000 0.5000 0.0000
Te 0.5000 0.0000 0.0000
P 0.5000 0.5000 0.5000

Calculated values
- Space-group type: Pm-3m
- Formation energy (no corrections): 766.3 meV per atom

---

(8)
La3Nd2SmDy6 | GGA-PBE | optimized geometry

Cell: 6.2990 6.2990 11.8838 Å, 95.06 95.06 120.01°
Fractional coordinates of all 12 atoms:
La 0.0000 0.0000 0.0000
La 0.3333 0.6667 0.0000
La 0.6667 0.3333 0.0000
Nd 0.1667 0.8333 0.5000
Nd 0.8333 0.1667 0.5000
Sm 0.5000 0.5000 0.5000
Dy 0.0845 0.4176 0.2524
Dy 0.2493 0.2493 0.7476
Dy 0.4176 0.0845 0.2524
Dy 0.5824 0.9155 0.7476
Dy 0.7507 0.7507 0.2524
Dy 0.9155 0.5824 0.7476

Calculated values
- Space-group type: C2/m
- Formation energy: 0.013 eV/atom

---

(9)
Sn4BiAs5 | GGA-PBE | optimized geometry

Cell: 4.9253 4.9253 29.1429 Å, 90.00 90.00 120.00°
Fractional coordinates of all 20 atoms:
Sn 0.0000 0.0000 0.0000
Sn 0.0000 0.0000 0.1961
Sn 0.0000 0.0000 0.8039
Sn 0.3333 0.6667 0.0984
Sn 0.3333 0.6667 0.2951
Sn 0.3333 0.6667 0.5000
Sn 0.3333 0.6667 0.7049
Sn 0.3333 0.6667 0.9016
Bi 0.0000 0.0000 0.3974
Bi 0.0000 0.0000 0.6026
As 0.0000 0.0000 0.0977
As 0.0000 0.0000 0.2937
As 0.0000 0.0000 0.5000
As 0.0000 0.0000 0.7063
As 0.0000 0.0000 0.9023
As 0.3333 0.6667 0.0000
As 0.3333 0.6667 0.1962
As 0.3333 0.6667 0.3974
As 0.3333 0.6667 0.6026
As 0.3333 0.6667 0.8038

Calculated values
- Space-group type: P-6m2
- Formation energy: 0.019 eV/atom

---

(10)
Rb2ScTa | GGA-PBE | optimized geometry

Cell: 8.4831 8.4831 8.4831 Å, 90.00 90.00 90.00°
Fractional coordinates of all 16 atoms:
Rb 0.2500 0.2500 0.2500
Rb 0.2500 0.2500 0.7500
Rb 0.2500 0.7500 0.2500
Rb 0.2500 0.7500 0.7500
Rb 0.7500 0.2500 0.2500
Rb 0.7500 0.2500 0.7500
Rb 0.7500 0.7500 0.2500
Rb 0.7500 0.7500 0.7500
Sc 0.0000 0.0000 0.0000
Sc 0.0000 0.5000 0.5000
Sc 0.5000 0.0000 0.5000
Sc 0.5000 0.5000 0.0000
Ta 0.0000 0.0000 0.5000
Ta 0.0000 0.5000 0.0000
Ta 0.5000 0.0000 0.0000
Ta 0.5000 0.5000 0.5000

Calculated values
- Space-group type: Fm-3m
- Formation energy: 1.936 eV/atom

---

(11)
Rb2Np2ZnSe6 | GGA-PBE | optimized geometry

Cell: 7.2867 7.2867 8.5221 Å, 97.39 97.39 123.05°
Fractional coordinates of all 11 atoms:
Rb 0.1575 0.8425 0.0000
Rb 0.8425 0.1575 0.0000
Np 0.3333 0.6667 0.5000
Np 0.6667 0.3333 0.5000
Zn 0.0000 0.0000 0.5000
Se 0.0591 0.4131 0.6936
Se 0.2431 0.2431 0.3322
Se 0.4131 0.0591 0.6936
Se 0.5869 0.9409 0.3064
Se 0.7569 0.7569 0.6678
Se 0.9409 0.5869 0.3064

Calculated values
- Space-group type: C2/m
- Formation energy (no corrections): -1033.0 meV per atom

---

(12)
Ba6In2NF | GGA-PBE | optimized geometry

Cell: 7.9713 7.9713 7.9713 Å, 60.00 60.00 60.00°
Fractional coordinates of all 10 atoms:
Ba 0.2416 0.2416 0.7584
Ba 0.2416 0.7584 0.2416
Ba 0.2416 0.7584 0.7584
Ba 0.7584 0.2416 0.2416
Ba 0.7584 0.2416 0.7584
Ba 0.7584 0.7584 0.2416
In 0.2500 0.2500 0.2500
In 0.7500 0.7500 0.7500
N 0.0000 0.0000 0.0000
F 0.5000 0.5000 0.5000

Calculated values
- Space-group type: Fm-3m
- Formation energy (no corrections): -890.4 meV per atom

---

(13)
Rb3Tb2ZrSe6 | GGA-PBE | optimized geometry

Cell: 7.1918 7.1918 8.3781 Å, 98.24 98.24 120.00°
Fractional coordinates of all 12 atoms:
Rb 0.0000 0.0000 0.0000
Rb 0.3302 0.6698 0.0000
Rb 0.6698 0.3302 0.0000
Tb 0.1663 0.8337 0.5000
Tb 0.8337 0.1663 0.5000
Zr 0.5000 0.5000 0.5000
Se 0.1144 0.4348 0.3044
Se 0.2454 0.2454 0.6968
Se 0.4348 0.1144 0.3044
Se 0.5652 0.8856 0.6956
Se 0.7546 0.7546 0.3032
Se 0.8856 0.5652 0.6956

Calculated values
- Space-group type: C2/m
- Formation energy (no corrections): -1569.7 meV per atom

---

(14)
Si3SnGe | GGA-PBE | optimized geometry

Cell: 5.1079 5.1079 5.1079 Å, 90.00 90.00 90.00°
Fractional coordinates of all 5 atoms:
Si 0.0000 0.0000 0.5000
Si 0.0000 0.5000 0.0000
Si 0.5000 0.0000 0.0000
Sn 0.0000 0.0000 0.0000
Ge 0.5000 0.5000 0.5000

Calculated values
- Space-group type: Pm-3m
- Formation energy (no corrections): 1369.0 meV per atom

---

Number 1: DOS(E_F) 19.815 states/eV per cell, E -66.88 eV/cell. Number 2: DOS(E_F) 4.285 states/eV per cell, E -40.94 eV/cell. Number 3: DOS(E_F) 10.724 states/eV per cell, E -138.73 eV/cell. Number 4: DOS(E_F) 5.421 states/eV per cell, E -34.46 eV/cell. Number 5: DOS(E_F) 3.796 states/eV per cell, E -24.47 eV/cell. Number 6: DOS(E_F) 4.206 states/eV per cell, E -42.70 eV/cell. Number 7: DOS(E_F) 7.843 states/eV per cell, E -20.17 eV/cell. Number 8: DOS(E_F) 14.589 states/eV per cell, E -56.50 eV/cell. Number 9: DOS(E_F) 4.380 states/eV per cell, E -85.90 eV/cell. Number 10: DOS(E_F) 70.857 states/eV per cell, E -49.50 eV/cell. Number 11: DOS(E_F) 15.246 states/eV per cell, E -61.36 eV/cell. Number 12: DOS(E_F) 11.788 states/eV per cell, E -36.11 eV/cell. Number 13: DOS(E_F) 4.709 states/eV per cell, E -60.46 eV/cell. Number 14: DOS(E_F) 3.312 states/eV per cell, E -18.04 eV/cell.